VASP calculation (PBE-GGA) on an optimized crystal structure of Ca2BiSb2.

```
data_Ca2BiSb2
_chemical_formula_sum 'Ca4 Bi2 Sb4'
_space_group_name_H-M_alt 'P 1'
_space_group_IT_number 1
_cell_length_a 8.490
_cell_length_b 8.490
_cell_length_c 4.300
_cell_angle_alpha 90.00
_cell_angle_beta 90.00
_cell_angle_gamma 90.00
loop_
_space_group_symop_operation_xyz
'x,y,z'
loop_
_atom_site_label
_atom_site_fract_x
_atom_site_fract_y
_atom_site_fract_z
Ca1 0.150 0.350 0.000
Ca2 0.350 0.850 0.000
Ca3 0.650 0.150 0.000
Ca4 0.850 0.650 0.000
Bi1 0.000 0.000 0.500
Bi2 0.500 0.500 0.500
Sb1 0.153 0.653 0.500
Sb2 0.347 0.153 0.500
Sb3 0.653 0.847 0.500
Sb4 0.847 0.347 0.500
```

Summary:
N(E_F)   5.15 states/eV/cell
Total magnetization   0.00 μB per cell
Formation energy from raw total energies   -0.673 eV per atom
ΔE to the lowest computed polymorph   0 meV/atom
Crystal system   tetragonal